A plane-wave DFT calculation with PBE was carried out for crystalline TbNdSe2O at its relaxed geometry.

a = 4.0599 Å, b = 4.0599 Å, c = 14.6662 Å
α = 90.00°, β = 90.00°, γ = 90.00°
Fractional coordinates of all 10 atoms:
Tb (0.2500, 0.2500, 0.1248)
Tb (0.7500, 0.7500, 0.8752)
Nd (0.2500, 0.2500, 0.5809)
Nd (0.7500, 0.7500, 0.4191)
Se (0.2500, 0.2500, 0.3048)
Se (0.2500, 0.2500, 0.9107)
Se (0.7500, 0.7500, 0.0893)
Se (0.7500, 0.7500, 0.6952)
O (0.2500, 0.7500, 0.5000)
O (0.7500, 0.2500, 0.5000)

Summary:
* V: 121 Å³/f.u.
* SG: No. 129
* DOS(E_F): 0.1857 states/eV/atom
* formation energy without anion corrections: -2.3841 eV per atom